A plane-wave DFT calculation with PBE-GGA was carried out for a relaxed Cr5In3S12 crystal.

electronic total energy = -5.724 eV/atom
ΔE_f (raw) = -0.431 eV per atom

Cell lengths 14.883, 14.883, 14.883 Å; angles 90.00, 90.00, 90.00 degrees
Space group Ia-3d (No. 230)
One atom of each set of equivalent atoms:
Cr (0.000, 0.000, 0.000)
Cr (0.000, 0.250, 0.375)
In (0.000, 0.250, 0.125)
S (0.031, 0.051, 0.650)